# 1
# AsAu2Br PBE optimized geometry
# - E above lowest polymorph (meV per atom) = 429
# - E_form (uncorrected) (eV/atom) = 0.46
data_AsAu2Br
_cell_length_a 3.944
_cell_length_b 3.944
_cell_length_c 11.105
_cell_angle_alpha 90.00
_cell_angle_beta 90.00
_cell_angle_gamma 90.00
_space_group_name_H-M_alt 'I 4/m m m'
_space_group_IT_number 139
_space_group_name_Hall '-I 4 2'
loop_
_atom_site_label
_atom_site_type_symbol
_atom_site_fract_x
_atom_site_fract_y
_atom_site_fract_z
As1 As 0.000 0.000 0.000
Au1 Au 0.000 0.500 0.250
Br1 Br 0.000 0.000 0.500



# 2
# AsAu2Br PBE optimized geometry
# - E above lowest polymorph (meV per atom) = 509
# - E_form (uncorrected) (eV/atom) = 0.55
data_AsAu2Br
_cell_length_a 6.900
_cell_length_b 6.900
_cell_length_c 6.900
_cell_angle_alpha 90.00
_cell_angle_beta 90.00
_cell_angle_gamma 90.00
_space_group_name_H-M_alt 'F -4 3 m'
_space_group_IT_number 216
_space_group_name_Hall 'F -4 2 3'
loop_
_atom_site_label
_atom_site_type_symbol
_atom_site_fract_x
_atom_site_fract_y
_atom_site_fract_z
As1 As 0.000 0.000 0.000
Au1 Au 0.000 0.000 0.500
Au2 Au 0.250 0.250 0.250
Br1 Br 0.250 0.250 0.750



# 3
# As2AuBr PBE optimized geometry
# - E above lowest polymorph (meV per atom) = 78
# - E_form (uncorrected) (eV/atom) = 0.05
data_As2AuBr
_cell_length_a 3.713
_cell_length_b 5.005
_cell_length_c 11.097
_cell_angle_alpha 90.00
_cell_angle_beta 90.00
_cell_angle_gamma 90.00
_space_group_name_H-M_alt 'A m m 2'
_space_group_IT_number 38
loop_
_space_group_symop_operation_xyz
'x,y,z'
'-x,-y,z'
'-x,y,z'
'x,-y,z'
'x,y+1/2,z+1/2'
'-x,-y+1/2,z+1/2'
'-x,y+1/2,z+1/2'
'x,-y+1/2,z+1/2'
loop_
_atom_site_label
_atom_site_type_symbol
_atom_site_fract_x
_atom_site_fract_y
_atom_site_fract_z
As1 As 0.000 0.000 0.000
As2 As 0.500 0.000 0.157
Au1 Au 0.500 0.000 0.708
Br1 Br 0.000 0.000 0.439